(1)
Tb5Si6: relaxed, GGA-PBE.

a b c (Å): 14.2538 14.2538 4.2780
angles (deg): 90.00 90.00 164.46
Fractional coordinates of all 11 atoms:
Tb  0.0000  0.0000  0.0000
Tb  0.1970  0.8030  0.5000
Tb  0.3863  0.6137  0.0000
Tb  0.6137  0.3863  0.0000
Tb  0.8030  0.1970  0.5000
Si  0.0935  0.9065  0.5000
Si  0.2781  0.7219  0.0000
Si  0.4587  0.5413  0.5000
Si  0.5413  0.4587  0.5000
Si  0.7219  0.2781  0.0000
Si  0.9065  0.0935  0.5000

## Properties
symmetry	No. 65
energy	-5.841	eV/atom
DOS at the Fermi energy	5.75	states/eV per cell
uncorrected formation energy	-8.6	eV per formula unit

***

(2)
KCrOs2: relaxed, GGA-PBE.

a b c (Å): 4.5381 4.5381 4.5381
angles (deg): 60.00 60.00 60.00
Fractional coordinates of all 4 atoms:
K  0.0000  0.0000  0.0000
Cr  0.7500  0.7500  0.7500
Os  0.2500  0.2500  0.2500
Os  0.5000  0.5000  0.5000

## Properties
symmetry	No. 216
energy	-6.764	eV/atom
DOS at the Fermi energy	4.51	states/eV per cell

***

(3)
Dy2HoErTm4: relaxed, GGA-PBE.

a b c (Å): 4.9477 4.9477 9.9058
angles (deg): 90.00 90.00 90.00
Fractional coordinates of all 8 atoms:
Dy  0.0000  0.0000  0.0000
Dy  0.5000  0.5000  0.5000
Ho  0.0000  0.0000  0.5000
Er  0.5000  0.5000  0.0000
Tm  0.0000  0.5000  0.2499
Tm  0.0000  0.5000  0.7501
Tm  0.5000  0.0000  0.2499
Tm  0.5000  0.0000  0.7501

## Properties
symmetry	No. 123
energy	-4.505	eV/atom
DOS at the Fermi energy	11.02	states/eV per cell

***

(4)
La5Sm5Ge6: relaxed, GGA-PBE.

a b c (Å): 6.7306 8.8764 8.8764
angles (deg): 119.71 90.00 90.00
Fractional coordinates of all 16 atoms:
La  0.0000  0.0000  0.0000
La  0.0000  0.2501  0.4956
La  0.0000  0.4956  0.2501
La  0.5000  0.0009  0.2483
La  0.5000  0.2483  0.0009
Sm  0.2505  0.5821  0.9149
Sm  0.2505  0.9149  0.5821
Sm  0.5000  0.5006  0.5006
Sm  0.7495  0.5821  0.9149
Sm  0.7495  0.9149  0.5821
Ge  0.0000  0.2493  0.8534
Ge  0.0000  0.6450  0.6450
Ge  0.0000  0.8534  0.2493
Ge  0.5000  0.2533  0.6421
Ge  0.5000  0.6421  0.2533
Ge  0.5000  0.8505  0.8505

## Properties
symmetry	No. 38
energy	-5.462	eV/atom
DOS at the Fermi energy	16.81	states/eV per cell

***

(5)
V5Co12B2: relaxed, GGA-PBE.

a b c (Å): 7.0387 7.0387 6.6331
angles (deg): 107.68 107.68 42.41
Fractional coordinates of all 19 atoms:
V  0.0000  0.0000  0.0000
V  0.2462  0.2462  0.4840
V  0.2476  0.2476  0.0100
V  0.7524  0.7524  0.9900
V  0.7538  0.7538  0.5160
Co  0.0392  0.0392  0.3618
Co  0.0908  0.6125  0.3086
Co  0.1220  0.5853  0.8204
Co  0.3875  0.9092  0.6914
Co  0.4147  0.8780  0.1796
Co  0.4808  0.4808  0.1822
Co  0.5192  0.5192  0.8178
Co  0.5853  0.1220  0.8204
Co  0.6125  0.0908  0.3086
Co  0.8780  0.4147  0.1796
Co  0.9092  0.3875  0.6914
Co  0.9608  0.9608  0.6382
B  0.3293  0.6707  0.5000
B  0.6707  0.3293  0.5000

## Properties
symmetry	No. 12
energy	-7.575	eV/atom
DOS at the Fermi energy	21.79	states/eV per cell

***

(6)
SrMgAu4: relaxed, GGA-PBE.

a b c (Å): 5.6858 5.6858 5.6858
angles (deg): 60.00 60.00 60.00
Fractional coordinates of all 6 atoms:
Sr  0.0000  0.0000  0.0000
Mg  0.2500  0.2500  0.2500
Au  0.1266  0.6245  0.6245
Au  0.6245  0.1266  0.6245
Au  0.6245  0.6245  0.1266
Au  0.6245  0.6245  0.6245

## Properties
symmetry	No. 216
energy	-3.194	eV/atom
DOS at the Fermi energy	5.64	states/eV per cell